w.
Compound: Rb2C
Source: Alexandria
Functional: PBE-GGA
Structure: optimized geometry

Summary:
**Crystal system**: tetragonal
**Calculated density**: 2.3 g/cm3

abc: 16.617 16.617 16.617
angles: 166.22 166.22 19.54
Fractional positions:
Rb 0.552 0.552 0.000
Rb 0.198 0.698 0.500
Rb 0.448 0.448 0.000
Rb 0.302 0.802 0.500
C 0.000 0.000 0.000
C 0.750 0.250 0.500

=====

x.
Compound: Rb2C
Source: Alexandria
Functional: PBE-GGA
Structure: optimized geometry

Summary:
**Crystal system**: hexagonal
**Calculated density**: 1.1 g/cm3

abc: 9.187 9.187 15.369
angles: 90.00 90.00 120.00
Fractional positions:
C 0.333 0.667 0.872
C 0.667 0.333 0.372
C 0.667 0.333 0.128
C 0.333 0.667 0.628
Rb 0.000 0.000 0.000
Rb 0.000 0.000 0.500
Rb 0.814 0.629 0.250
Rb 0.186 0.371 0.750
Rb 0.371 0.186 0.250
Rb 0.814 0.186 0.250
Rb 0.186 0.814 0.750
Rb 0.629 0.814 0.750

=====

Which structure is most stable, and how do the rest compare? From most to least stable: w, x.

=====

w.
Compound: Rb2C
Source: Alexandria
Functional: PBE-GGA
Structure: optimized geometry

Summary:
**Crystal system**: orthorhombic
**Calculated density**: 2.2 g/cm3

abc: 9.011 9.011 4.559
angles: 90.00 90.00 131.76
Fractional positions:
Rb 0.000 0.000 0.000
Rb 0.500 0.500 0.500
Rb 0.749 0.251 0.500
Rb 0.251 0.749 0.500
C 0.631 0.369 0.000
C 0.369 0.631 0.000

=====

x.
Compound: Rb2C
Source: Alexandria
Functional: PBE-GGA
Structure: optimized geometry

Summary:
**Crystal system**: trigonal
**Calculated density**: 2.1 g/cm3

abc: 7.905 7.905 7.905
angles: 34.56 34.56 34.56
Fractional positions:
C 0.000 0.000 0.000
Rb 0.264 0.264 0.264
Rb 0.736 0.736 0.736

=====

Which structure is most stable, and how do the rest compare? From most to least stable: x, w.

=====

w.
Compound: RbC
Source: Alexandria
Functional: PBE-GGA
Structure: optimized geometry

Summary:
**Crystal system**: hexagonal
**Calculated density**: 2.0 g/cm3

abc: 5.443 5.443 6.404
angles: 90.00 90.00 120.00
Fractional positions:
Rb 0.333 0.667 0.750
Rb 0.667 0.333 0.250
C 0.333 0.667 0.250
C 0.667 0.333 0.750

=====

x.
Compound: RbC
Source: Alexandria
Functional: PBE-GGA
Structure: optimized geometry

Summary:
**Crystal system**: orthorhombic
**Calculated density**: 2.9 g/cm3

abc: 4.800 9.465 9.850
angles: 90.00 90.00 90.00
Fractional positions:
C 0.250 0.289 0.091
C 0.750 0.211 0.591
C 0.750 0.711 0.909
C 0.250 0.789 0.409
C 0.250 0.169 0.148
C 0.750 0.331 0.648
C 0.750 0.831 0.852
C 0.250 0.669 0.352
Rb 0.250 0.839 0.072
Rb 0.750 0.661 0.572
Rb 0.750 0.161 0.928
Rb 0.250 0.339 0.428
Rb 0.250 0.487 0.832
Rb 0.750 0.013 0.332
Rb 0.750 0.513 0.168
Rb 0.250 0.987 0.668

=====

y.
Compound: RbC
Source: Alexandria
Functional: PBE-GGA
Structure: optimized geometry

Summary:
**Crystal system**: tetragonal
**Calculated density**: 3.3 g/cm3

abc: 11.912 11.912 2.796
angles: 90.00 90.00 90.00
Fractional positions:
Rb 0.750 0.500 0.000
Rb 0.250 0.500 0.000
Rb 0.500 0.250 0.000
Rb 0.500 0.750 0.000
Rb 0.250 0.000 0.500
Rb 0.750 0.000 0.500
Rb 0.000 0.750 0.500
Rb 0.000 0.250 0.500
C 0.242 0.242 0.000
C 0.242 0.758 0.000
C 0.758 0.242 0.000
C 0.758 0.758 0.000
C 0.742 0.742 0.500
C 0.742 0.258 0.500
C 0.258 0.742 0.500
C 0.258 0.258 0.500

=====

Which structure is most stable, and how do the rest compare? From most to least stable: x, y, w.

=====

w.
Compound: RbC3
Source: Alexandria
Functional: PBE-GGA
Structure: optimized geometry

Summary:
**Crystal system**: orthorhombic
**Calculated density**: 3.2 g/cm3

abc: 4.694 4.694 2.885
angles: 90.00 90.00 90.20
Fractional positions:
C 0.000 0.500 0.500
C 0.500 0.000 0.500
C 0.500 0.500 0.000
Rb 0.000 0.000 0.000

=====

x.
Compound: RbC3
Source: Alexandria
Functional: PBE-GGA
Structure: optimized geometry

Summary:
**Crystal system**: orthorhombic
**Calculated density**: 2.7 g/cm3

abc: 4.350 4.350 4.317
angles: 90.00 90.00 112.52
Fractional positions:
Rb 0.000 0.000 0.500
C 0.500 0.500 0.000
C 0.682 0.318 0.000
C 0.318 0.682 0.000

=====

y.
Compound: RbC3
Source: Alexandria
Functional: PBE-GGA
Structure: optimized geometry

Summary:
**Crystal system**: orthorhombic
**Calculated density**: 2.9 g/cm3

abc: 4.955 4.955 4.955
angles: 143.21 96.22 95.21
Fractional positions:
C 0.811 0.895 0.917
C 0.022 0.105 0.917
C 0.917 0.500 0.417
Rb 0.416 0.000 0.416

=====

z.
Compound: RbC3
Source: Alexandria
Functional: PBE-GGA
Structure: optimized geometry

Summary:
**Crystal system**: orthorhombic
**Calculated density**: 3.1 g/cm3

abc: 2.693 4.711 5.214
angles: 90.00 90.00 90.00
Fractional positions:
C 0.000 0.000 0.795
C 0.500 0.000 0.794
C 0.500 0.500 0.789
Rb 0.000 0.500 0.289

=====

Which structure is most stable, and how do the rest compare? From most to least stable: x, y, z, w.